Below is AcInGaRh3 after structural relaxation, with properties calculated at the PBE level.

Output
* SG: Cmcm, No. 63
* total magnetization: 0.00 μB per cell

a b c (Å): 5.7023 5.7486 8.8666
angles (deg): 108.92 90.00 90.00
Positions (direct):
Ac: 0.7500 0.2631 0.5261
Ac: 0.2500 0.7369 0.4739
In: 0.2500 0.1026 0.2053
In: 0.7500 0.8974 0.7947
Ga: 0.2500 0.4071 0.8141
Ga: 0.7500 0.5929 0.1859
Rh: 0.2500 0.2604 0.5208
Rh: 0.0000 0.2607 0.0000
Rh: 0.5000 0.7393 0.0000
Rh: 0.5000 0.2607 0.0000
Rh: 0.0000 0.7393 0.0000
Rh: 0.7500 0.7396 0.4792

=====

Below is Al2Cr2Ag after structural relaxation, with properties calculated at the PBE level.

Output
* E above lowest polymorph: 14.9 meV per atom
* SG: P4/mbm, No. 127
* total magnetization: 11.81 μB per cell

a b c (Å): 7.1683 7.1683 3.0329
angles (deg): 90.00 90.00 90.00
Positions (direct):
Cr: 0.1582 0.6582 0.5000
Cr: 0.6582 0.8418 0.5000
Cr: 0.8418 0.3418 0.5000
Cr: 0.3418 0.1582 0.5000
Al: 0.3630 0.8630 0.0000
Al: 0.8630 0.6370 0.0000
Al: 0.6370 0.1370 0.0000
Al: 0.1370 0.3630 0.0000
Ag: 0.0000 0.0000 0.0000
Ag: 0.5000 0.5000 0.0000

=====

Below is Er2BeNi3Ge4 after structural relaxation, with properties calculated at the PBE level.

Output
* SG: P-4m2, No. 115
* total magnetization: 0.00 μB per cell

a b c (Å): 4.0044 4.0044 9.8429
angles (deg): 90.00 90.00 90.00
Positions (direct):
Er: 0.5000 0.0000 0.2535
Er: 0.0000 0.5000 0.7465
Be: 0.5000 0.5000 0.5000
Ni: 0.0000 0.0000 0.5000
Ni: 0.5000 0.0000 0.8699
Ni: 0.0000 0.5000 0.1301
Ge: 0.5000 0.5000 0.0000
Ge: 0.0000 0.0000 0.0000
Ge: 0.5000 0.0000 0.6321
Ge: 0.0000 0.5000 0.3679

=====

| no. | energy relative to the elements (eV/atom) |
| --- | --- |
| 1 | -0.34 |
| 2 | 0.18 |
| 3 | -0.61 |